Record 1
Entry from the Alexandria database: a relaxed structure of Th6BeSe5 (GGA-PBE).

a = 7.2677 Å, b = 7.2677 Å, c = 7.2480 Å
α = 99.48°, β = 99.48°, γ = 119.11°
Closest atoms and distances in Å follow each position.
Fractional coordinates of all 12 atoms:
Th1 0.0766 0.3943 0.7356  1 Be 2.82, 5 Se 2.98-3.06
Th2 0.2313 0.2313 0.2538  1 Be 2.84, 5 Se 3.00-3.11
Th3 0.3943 0.0766 0.7356  1 Be 2.82, 5 Se 2.98-3.06
Th4 0.6057 0.9234 0.2644  1 Be 2.82, 5 Se 2.98-3.06
Th5 0.7687 0.7687 0.7462  1 Be 2.84, 5 Se 3.00-3.11
Th6 0.9234 0.6057 0.2644  1 Be 2.82, 5 Se 2.98-3.06
Be1 0.0000 0.0000 0.5000  6 Th 2.82-2.84
Se1 0.1750 0.8250 0.0000  6 Th 2.98-3.06
Se2 0.3368 0.6632 0.5000  6 Th 2.98-3.00
Se3 0.5000 0.5000 0.0000  6 Th 3.00-3.11
Se4 0.6632 0.3368 0.5000  6 Th 2.98-3.00
Se5 0.8250 0.1750 0.0000  6 Th 2.98-3.06

Values from the calculation:
Space group: C2/m
Calculated total energy in eV per atom: -6.744
Formation energy without anion corrections in eV per formula unit: -15.26
Calculated volume in Å³/cell: 316.3

Record 2
Entry from the Alexandria database: a relaxed structure of LiPm5Tl6 (GGA-PBE).

a = 8.5690 Å, b = 8.5690 Å, c = 7.6993 Å
α = 90.00°, β = 90.00°, γ = 143.30°
Closest atoms and distances in Å follow each position.
Fractional coordinates of all 12 atoms:
Li1 0.0000 0.0000 0.0000  8 Tl 3.21-3.28
Pm1 0.0000 0.0000 0.5000  8 Tl 3.30-3.35
Pm2 0.3312 0.6688 0.5000  8 Tl 3.36-3.42
Pm3 0.3384 0.6616 0.0000  8 Tl 3.22-3.43
Pm4 0.6616 0.3384 0.0000  8 Tl 3.22-3.43
Pm5 0.6688 0.3312 0.5000  8 Tl 3.36-3.42
Tl1 0.1610 0.8390 0.2399  1 Li 3.21, 7 Pm 3.27-3.43
Tl2 0.1610 0.8390 0.7601  1 Li 3.21, 7 Pm 3.27-3.43
Tl3 0.5000 0.5000 0.2417  6 Pm 3.22-3.39, 2 Li 3.28
Tl4 0.5000 0.5000 0.7583  6 Pm 3.22-3.39, 2 Li 3.28
Tl5 0.8390 0.1610 0.2399  1 Li 3.21, 7 Pm 3.27-3.43
Tl6 0.8390 0.1610 0.7601  1 Li 3.21, 7 Pm 3.27-3.43

Values from the calculation:
Space group: Cmmm
Calculated total energy in eV per atom: -3.684
Energy of formation from the pure elements in meV per atom: -362.0
Calculated volume in Å³/cell: 337.9

Record 3
Entry from the Alexandria database: a relaxed structure of Na2TeS (GGA-PBE).

a = 3.3395 Å, b = 3.3395 Å, c = 8.6227 Å
α = 90.00°, β = 90.00°, γ = 90.00°
Closest atoms and distances in Å follow each position.
Fractional coordinates of all 4 atoms:
Na1 0.0000 0.0000 0.1901  4 S 2.87
Na2 0.0000 0.0000 0.8099  4 S 2.87
Te1 0.5000 0.5000 0.5000  4 Te 3.34, 8 Na 3.57
S1 0.5000 0.5000 0.0000  8 Na 2.87

Values from the calculation:
ΔE to the lowest computed polymorph in eV/atom: 0.000
Space group: P4/mmm
Calculated total energy in eV per atom: -3.115
Formation energy without anion corrections in eV per formula unit: -2.55
Calculated volume in Å³/cell: 96.2